(1)
{"formula": "ScCr2Ir", "functional": "SCAN", "state": "PBEsol geometry", "lattice": [[2.9624, 0.0000, 0.0000], [0.0000, 2.9624, 0.0000], [0.0000, 0.0000, 6.3171]], "species": ["Cr", "Cr", "Sc", "Ir"], "fractional_positions": [[0.0000, 0.0000, 0.0406], [0.5000, 0.5000, 0.2251], [0.5000, 0.5000, 0.7541], [0.0000, 0.0000, 0.4801]], "total_energy_ev_per_atom": -30.77, "density_g_cm3": 10.22, "e_form_ev_per_atom": -0.24, "space_group": "P4mm (99)"}

(2)
{"formula": "ScCrIr2", "functional": "SCAN", "state": "PBEsol geometry", "lattice": [[-2.3890, -1.3756, -1.0731], [1.8872, -3.8695, 0.7589], [-1.5950, 2.5472, 4.3630]], "species": ["Ir", "Ir", "Sc", "Cr"], "fractional_positions": [[0.7452, 0.2452, 0.4905], [0.9866, 0.9866, 0.9731], [0.5028, 0.5028, 0.0055], [0.2655, 0.7655, 0.5309]], "polymorph_energy_mev_per_atom": 323.8, "total_energy_ev_per_atom": -44.10, "density_g_cm3": 13.46, "e_form_ev_per_atom": -0.40, "space_group": "Imm2 (44)"}

(3)
{"formula": "ScCrIr2", "functional": "SCAN", "state": "PBEsol geometry", "lattice": [[-3.0653, 2.5253, -1.7729], [-1.2295, -0.6411, -4.1224], [-3.9347, -1.6386, -0.8660]], "species": ["Ir", "Ir", "Sc", "Cr"], "fractional_positions": [[0.0000, 0.0000, 0.0000], [0.2500, 0.2500, 0.2500], [0.7500, 0.7500, 0.7500], [0.5000, 0.5000, 0.5000]], "polymorph_energy_mev_per_atom": 510.4, "total_energy_ev_per_atom": -43.91, "density_g_cm3": 13.74, "e_form_ev_per_atom": -0.21, "space_group": "F-43m (216)"}

(4)
{"formula": "ScCrIr2", "functional": "SCAN", "state": "PBEsol geometry", "lattice": [[3.5019, 0.0000, 0.0000], [0.0000, 4.1036, 0.0000], [0.0000, 0.0000, 4.1036]], "species": ["Sc", "Ir", "Ir", "Cr"], "fractional_positions": [[0.5000, 0.5000, 0.5000], [0.0000, 0.5000, 0.0000], [0.0000, 0.0000, 0.5000], [0.5000, 0.0000, 0.0000]], "polymorph_energy_mev_per_atom": 0.0, "total_energy_ev_per_atom": -44.42, "density_g_cm3": 13.56, "e_form_ev_per_atom": -0.72, "space_group": "P4/mmm (123)"}

(5)
{"formula": "ScCrIr", "functional": "SCAN", "state": "PBEsol geometry", "lattice": [[-0.5177, -2.7160, -0.6847], [3.2736, -1.2356, 2.4260], [-3.8973, 0.3182, 1.6847]], "species": ["Sc", "Cr", "Ir"], "fractional_positions": [[0.3285, 0.3333, 0.6667], [0.9336, 0.0000, 0.0000], [0.7379, 0.6667, 0.3333]], "total_energy_ev_per_atom": -34.79, "density_g_cm3": 10.74, "e_form_ev_per_atom": -0.21, "space_group": "P3m1 (156)"}

(6)
{"formula": "ScCrIr2", "functional": "SCAN", "state": "PBEsol geometry", "lattice": [[4.3818, 0.0000, 0.0000], [2.1909, 3.7947, 0.0000], [2.1909, 1.2649, 3.5777]], "species": ["Ir", "Ir", "Sc", "Cr"], "fractional_positions": [[0.7500, 0.7500, 0.7500], [0.2500, 0.2500, 0.2500], [0.5000, 0.5000, 0.5000], [0.0000, 0.0000, 0.0000]], "polymorph_energy_mev_per_atom": 89.8, "total_energy_ev_per_atom": -44.33, "density_g_cm3": 13.44, "e_form_ev_per_atom": -0.63, "space_group": "Fm-3m (225)"}

(7)
{"formula": "ScCrIr2", "functional": "SCAN", "state": "PBEsol geometry", "lattice": [[-1.7019, 1.2885, 1.8810], [-0.6662, -3.9754, 2.1204], [3.8168, 2.1745, 1.9639]], "species": ["Sc", "Cr", "Ir", "Ir"], "fractional_positions": [[0.5000, 0.5000, 0.0000], [0.0000, 0.5000, 0.5000], [0.5000, 0.0000, 0.5000], [0.0000, 0.0000, 0.0000]], "polymorph_energy_mev_per_atom": 318.3, "total_energy_ev_per_atom": -44.11, "density_g_cm3": 13.53, "e_form_ev_per_atom": -0.40, "space_group": "P2/m (10)"}

(8)
{"formula": "CrIrSe2", "functional": "SCAN", "state": "PBEsol geometry", "lattice": [[-2.1257, 3.3843, -1.8678], [-2.9957, -1.6047, 2.8126], [3.8208, 1.3466, 2.1457]], "species": ["Se", "Se", "Cr", "Ir"], "fractional_positions": [[0.0000, 0.5000, 0.5000], [0.5000, 0.0000, 0.5000], [0.5000, 0.5000, 0.0000], [0.0000, 0.0000, 0.0000]], "polymorph_energy_mev_per_atom": 305.9, "e_form_raw_ev_per_atom": 0.128, "total_energy_ev_per_atom": -32.28, "density_g_cm3": 9.60, "space_group": "Fmmm (69)"}

(9)
{"formula": "CrIrSe2", "functional": "SCAN", "state": "PBEsol geometry", "lattice": [[3.3965, 0.0000, 0.0000], [0.0000, 3.3952, 0.0000], [0.0000, 0.0000, 5.9612]], "species": ["Ir", "Se", "Se", "Cr"], "fractional_positions": [[0.5000, 0.5000, 0.7559], [0.5000, 0.5000, 0.3450], [0.0000, 0.0000, 0.9045], [0.0000, 0.0000, 0.4946]], "polymorph_energy_mev_per_atom": 0.0, "e_form_raw_ev_per_atom": -0.178, "total_energy_ev_per_atom": -32.59, "density_g_cm3": 9.71, "space_group": "P4mm (99)"}

(10)
{"formula": "CrIrSe2", "functional": "SCAN", "state": "PBEsol geometry", "lattice": [[-1.0706, -0.2623, 2.7649], [-4.0060, -1.1376, -1.6591], [3.8169, -3.8894, -0.4932]], "species": ["Ir", "Se", "Se", "Cr"], "fractional_positions": [[0.7409, 0.2409, 0.4818], [0.0220, 0.0220, 0.0439], [0.2346, 0.7346, 0.4693], [0.5025, 0.5025, 0.0049]], "polymorph_energy_mev_per_atom": 370.7, "e_form_raw_ev_per_atom": 0.193, "total_energy_ev_per_atom": -32.22, "density_g_cm3": 10.50, "space_group": "Imm2 (44)"}

(11)
{"formula": "CrIrSe2", "functional": "SCAN", "state": "PBEsol geometry", "lattice": [[3.2643, 0.0000, 0.0000], [0.0000, 4.3361, -0.0625], [-1.6321, -0.7742, 4.4942]], "species": ["Ir", "Cr", "Se", "Se"], "fractional_positions": [[0.7527, 0.2270, 0.5055], [0.4992, 0.5372, 0.9983], [0.0025, 0.0685, 0.0049], [0.2457, 0.6673, 0.4913]], "polymorph_energy_mev_per_atom": 254.9, "e_form_raw_ev_per_atom": 0.077, "total_energy_ev_per_atom": -32.33, "density_g_cm3": 10.52, "space_group": "Cm (8)"}

(12)
{"formula": "CrIrSe4", "functional": "SCAN", "state": "PBEsol geometry", "lattice": [[5.4106, 0.0000, 0.0000], [2.7053, 4.6857, 0.0000], [2.7053, 1.5619, 4.4177]], "species": ["Ir", "Cr", "Se", "Se", "Se", "Se"], "fractional_positions": [[0.0000, 0.0000, 0.0000], [0.7500, 0.7500, 0.7500], [0.3742, 0.3742, 0.8774], [0.3742, 0.8774, 0.3742], [0.8774, 0.3742, 0.3742], [0.3742, 0.3742, 0.3742]], "e_form_raw_ev_per_atom": 1.249, "total_energy_ev_per_atom": -27.05, "density_g_cm3": 8.30, "space_group": "F-43m (216)"}

| no. | total moment (μB per formula unit) |
| --- | --- |
| 1 | 0.2 |
| 2 | 2.9 |
| 3 | 2.5 |
| 4 | 3.1 |
| 5 | 0.0 |
| 6 | 3.1 |
| 7 | 3.4 |
| 8 | 3.5 |
| 9 | 2.9 |
| 10 | 3.5 |
| 11 | 3.2 |
| 12 | 3.2 |